Below is a relaxed KRuCl2 crystal, with properties calculated at the PBE level.

Cell: 3.4540 4.1682 7.1944 Å, 90.00 90.00 90.00°
Each line ends with the local moment (μB).
Sites, in units of the cell vectors:
Cl1 0.5000 0.5000 0.2718  0.05
Cl2 0.0000 0.0000 0.8666  0.10
Ru1 0.5000 0.5000 0.9196  2.47
K1 0.0000 0.0000 0.4420  0.00

Computed properties:
Raw formation energy = -0.288 eV/atom
Symmetry = Pmm2 (25)
Calculated total energy = -15.22 eV per formula unit